{"formula": "K3PaCo2O8", "functional": "GGA+U", "state": "optimized geometry", "lattice": [[-5.837, -1.339, -0.586], [3.857, -1.358, -4.415], [1.262, -6.919, 3.231]], "species": ["K", "K", "K", "Pa", "Co", "Co", "O", "O", "O", "O", "O", "O", "O", "O"], "frac_coords": [[0.333, 0.667, 0.694], [0.667, 0.333, 0.306], [0.000, 0.000, 0.000], [0.000, 0.000, 0.500], [0.333, 0.667, 0.250], [0.667, 0.333, 0.750], [0.333, 0.667, 0.029], [0.667, 0.333, 0.971], [0.169, 0.831, 0.335], [0.831, 0.169, 0.665], [0.169, 0.338, 0.335], [0.831, 0.662, 0.665], [0.662, 0.831, 0.335], [0.338, 0.169, 0.665]], "energy_ev_per_cell": -87.70, "volume_a3_per_atom": 17.3}